[1]
DFT (PBE-GGA) results for a relaxed KYMg2 crystal.

Lattice parameters (Å, degrees): 3.877 3.877 8.993 90.00 90.00 90.00
Fractional coordinates of all 4 atoms:
K1 0.000 0.000 0.000
Y1 0.000 0.000 0.500
Mg1 0.500 0.500 0.301
Mg2 0.500 0.500 0.699

Its space-group type is No. 123. The value obtained for the relative energy among the computed polymorphs is 0 meV per atom. Its energy is -10.3 eV/cell. For the spin magnetization, the calculation gives 0.43 μB per cell. For the theoretical density, the calculation gives 2.170 g cm⁻³. Its formation energy is 0.1186 eV per atom.

[2]
DFT (PBE-GGA) results for a relaxed KYMg2 crystal.

Lattice parameters (Å, degrees): 8.954 8.954 6.971 90.00 90.00 90.00
Fractional coordinates of all 16 atoms:
K1 0.000 0.000 0.000
K2 0.000 0.500 0.250
K3 0.500 0.000 0.750
K4 0.500 0.500 0.500
Y1 0.000 0.000 0.500
Y2 0.000 0.500 0.750
Y3 0.500 0.000 0.250
Y4 0.500 0.500 0.000
Mg1 0.237 0.250 0.625
Mg2 0.250 0.737 0.875
Mg3 0.250 0.763 0.375
Mg4 0.263 0.250 0.125
Mg5 0.737 0.750 0.125
Mg6 0.750 0.237 0.375
Mg7 0.750 0.263 0.875
Mg8 0.763 0.750 0.625

Its space-group type is No. 122. The value obtained for the relative energy among the computed polymorphs is 407 meV per atom. Its energy is -34.6 eV/cell. For the spin magnetization, the calculation gives 0.00 μB per cell. For the theoretical density, the calculation gives 2.099 g cm⁻³. Its formation energy is 0.5257 eV per atom.

[3]
DFT (PBE-GGA) results for a relaxed KYMg2 crystal.

Lattice parameters (Å, degrees): 3.585 3.585 10.457 90.00 90.00 90.00
Fractional coordinates of all 4 atoms:
K1 0.000 0.000 0.000
Y1 0.500 0.500 0.662
Mg1 0.000 0.000 0.461
Mg2 0.500 0.500 0.291

Its space-group type is No. 99. The value obtained for the relative energy among the computed polymorphs is 72 meV per atom. Its energy is -10.0 eV/cell. For the spin magnetization, the calculation gives 0.52 μB per cell. For the theoretical density, the calculation gives 2.182 g cm⁻³. Its formation energy is 0.1904 eV per atom.

[4]
DFT (PBE-GGA) results for a relaxed K2YMg2 crystal.

Lattice parameters (Å, degrees): 8.369 8.369 6.015 90.00 90.00 90.00
Fractional coordinates of all 10 atoms:
K1 0.175 0.325 0.000
K2 0.325 0.825 0.000
K3 0.675 0.175 0.000
K4 0.825 0.675 0.000
Y1 0.000 0.000 0.500
Y2 0.500 0.500 0.500
Mg1 0.130 0.630 0.500
Mg2 0.370 0.130 0.500
Mg3 0.630 0.870 0.500
Mg4 0.870 0.370 0.500

Its space-group type is No. 127. The value obtained for the relative energy among the computed polymorphs is 0 meV per atom. Its energy is -19.7 eV/cell. For the spin magnetization, the calculation gives 0.00 μB per cell. For the theoretical density, the calculation gives 1.700 g cm⁻³. Its formation energy is 0.3969 eV per atom.

[5]
DFT (PBE-GGA) results for a relaxed KYMg2 crystal.

Lattice parameters (Å, degrees): 5.526 5.526 7.949 90.00 90.00 90.00
Fractional coordinates of all 8 atoms:
K1 0.000 0.000 0.000
K2 0.500 0.500 0.500
Y1 0.000 0.500 0.250
Y2 0.500 0.000 0.750
Mg1 0.000 0.000 0.500
Mg2 0.000 0.500 0.750
Mg3 0.500 0.000 0.250
Mg4 0.500 0.500 0.000

Its space-group type is No. 119. The value obtained for the relative energy among the computed polymorphs is 219 meV per atom. Its energy is -18.8 eV/cell. For the spin magnetization, the calculation gives 0.00 μB per cell. For the theoretical density, the calculation gives 2.416 g cm⁻³. Its formation energy is 0.3378 eV per atom.

[6]
DFT (PBE-GGA) results for a relaxed K2YMg2 crystal.

Lattice parameters (Å, degrees): 4.640 4.640 17.281 90.00 90.00 90.00
Fractional coordinates of all 10 atoms:
K1 0.000 0.500 0.250
K2 0.000 0.500 0.750
K3 0.500 0.000 0.250
K4 0.500 0.000 0.750
Y1 0.000 0.000 0.000
Y2 0.500 0.500 0.500
Mg1 0.000 0.000 0.418
Mg2 0.000 0.000 0.582
Mg3 0.500 0.500 0.082
Mg4 0.500 0.500 0.918

Its space-group type is No. 139. The value obtained for the relative energy among the computed polymorphs is 33 meV per atom. Its energy is -19.4 eV/cell. For the spin magnetization, the calculation gives 0.00 μB per cell. For the theoretical density, the calculation gives 1.926 g cm⁻³. Its formation energy is 0.4297 eV per atom.

[7]
DFT (PBE-GGA) results for a relaxed KYMg2 crystal.

Lattice parameters (Å, degrees): 8.022 8.022 8.022 90.00 90.00 90.00
Fractional coordinates of all 16 atoms:
K1 0.000 0.000 0.000
K2 0.000 0.500 0.500
K3 0.500 0.000 0.500
K4 0.500 0.500 0.000
Y1 0.000 0.000 0.500
Y2 0.000 0.500 0.000
Y3 0.500 0.000 0.000
Y4 0.500 0.500 0.500
Mg1 0.250 0.250 0.250
Mg2 0.250 0.250 0.750
Mg3 0.250 0.750 0.250
Mg4 0.250 0.750 0.750
Mg5 0.750 0.250 0.250
Mg6 0.750 0.250 0.750
Mg7 0.750 0.750 0.250
Mg8 0.750 0.750 0.750

Its space-group type is No. 225. The value obtained for the relative energy among the computed polymorphs is 168 meV per atom. Its energy is -38.4 eV/cell. For the spin magnetization, the calculation gives 0.00 μB per cell. For the theoretical density, the calculation gives 2.272 g cm⁻³. Its formation energy is 0.2865 eV per atom.

[8]
DFT (PBE-GGA) results for a relaxed KYMg2 crystal.

Lattice parameters (Å, degrees): 10.942 3.396 7.886 90.00 95.82 90.00
Fractional coordinates of all 8 atoms:
K1 0.000 0.000 0.000
K2 0.500 0.500 0.000
Y1 0.000 0.500 0.500
Y2 0.500 0.000 0.500
Mg1 0.239 0.000 0.675
Mg2 0.261 0.500 0.325
Mg3 0.739 0.500 0.675
Mg4 0.761 0.000 0.325

Its space-group type is No. 12. The value obtained for the relative energy among the computed polymorphs is 157 meV per atom. Its energy is -19.3 eV/cell. For the spin magnetization, the calculation gives 0.00 μB per cell. For the theoretical density, the calculation gives 2.012 g cm⁻³. Its formation energy is 0.2755 eV per atom.

[9]
DFT (PBE-GGA) results for a relaxed KYMg2 crystal.

Lattice parameters (Å, degrees): 3.556 3.556 35.875 90.00 90.00 120.00
Fractional coordinates of all 12 atoms:
K1 0.000 0.000 0.000
K2 0.333 0.667 0.667
K3 0.667 0.333 0.333
Y1 0.000 0.000 0.500
Y2 0.333 0.667 0.167
Y3 0.667 0.333 0.833
Mg1 0.000 0.000 0.242
Mg2 0.000 0.000 0.758
Mg3 0.333 0.667 0.425
Mg4 0.333 0.667 0.908
Mg5 0.667 0.333 0.092
Mg6 0.667 0.333 0.575

Its space-group type is No. 166. The value obtained for the relative energy among the computed polymorphs is 76 meV per atom. Its energy is -29.9 eV/cell. For the spin magnetization, the calculation gives 0.00 μB per cell. For the theoretical density, the calculation gives 2.240 g cm⁻³. Its formation energy is 0.1945 eV per atom.

[10]
DFT (PBE-GGA) results for a relaxed KYMg2 crystal.

Lattice parameters (Å, degrees): 12.715 3.487 6.081 90.00 107.46 90.00
Fractional coordinates of all 8 atoms:
K1 0.000 0.000 0.000
K2 0.500 0.500 0.000
Y1 0.295 0.500 0.367
Y2 0.795 0.000 0.367
Mg1 0.043 0.500 0.523
Mg2 0.242 0.000 0.825
Mg3 0.543 0.000 0.523
Mg4 0.742 0.500 0.825

Its space-group type is No. 8. The value obtained for the relative energy among the computed polymorphs is 102 meV per atom. Its energy is -19.7 eV/cell. For the spin magnetization, the calculation gives 0.00 μB per cell. For the theoretical density, the calculation gives 2.281 g cm⁻³. Its formation energy is 0.2207 eV per atom.

[11]
DFT (PBE-GGA) results for a relaxed KYMg2 crystal.

Lattice parameters (Å, degrees): 3.442 6.019 12.493 90.00 90.00 90.00
Fractional coordinates of all 8 atoms:
K1 0.000 0.000 0.000
K2 0.500 0.500 0.500
Y1 0.000 0.500 0.206
Y2 0.500 0.000 0.706
Mg1 0.000 0.000 0.469
Mg2 0.000 0.500 0.763
Mg3 0.500 0.000 0.263
Mg4 0.500 0.500 0.969

Its space-group type is No. 44. The value obtained for the relative energy among the computed polymorphs is 111 meV per atom. Its energy is -19.7 eV/cell. For the spin magnetization, the calculation gives 0.00 μB per cell. For the theoretical density, the calculation gives 2.266 g cm⁻³. Its formation energy is 0.2296 eV per atom.

[12]
DFT (PBE-GGA) results for a relaxed KMg2Zn crystal.

Lattice parameters (Å, degrees): 3.413 3.919 8.469 90.00 90.08 90.00
Fractional coordinates of all 4 atoms:
K1 0.000 0.000 0.000
Mg1 0.002 0.000 0.438
Mg2 0.502 0.500 0.653
Zn1 0.501 0.500 0.300

Its space-group type is No. 6. Its energy is -5.1 eV/cell. For the spin magnetization, the calculation gives 0.00 μB per cell. For the theoretical density, the calculation gives 2.244 g cm⁻³. Its formation energy is 0.1072 eV per atom.

> Which of these has the lowest formation energy?

KMg2Zn